1.
Below is a geometry-optimized CePaAgPt structure, with properties calculated at the PBE-GGA level.

Cell: 7.1681 7.1681 7.1681 Å, 90.00 90.00 90.00°
Last column: nearest neighbours and their distance in Å.
Space group F-43m (No. 216)
Inequivalent atoms, fractional coordinates:
Ce (0.0000, 0.0000, 0.0000) [4 per cell]  4 Ag 3.10, 4 Pt 3.10
Pa (0.0000, 0.0000, 0.5000) [4 per cell]  4 Pt 3.10, 4 Ag 3.10
Ag (0.2500, 0.2500, 0.2500) [4 per cell]  4 Ce 3.10, 4 Pa 3.10
Pt (0.2500, 0.2500, 0.7500) [4 per cell]  4 Ce 3.10, 4 Pa 3.10

Output
raw total energy: -6.388 eV per atom
energy relative to the elements: -307.6 meV per atom


2.
Below is a geometry-optimized CrCd structure, with properties calculated at the PBE-GGA level.

Cell: 3.0140 4.7263 9.3439 Å, 90.00 90.00 90.00°
Last column: nearest neighbours and their distance in Å.
Space group Cmme (No. 67)
Inequivalent atoms, fractional coordinates:
Cr (0.0000, 0.2500, 0.0854) [4 per cell]  2 Cr 2.19
Cd (0.0000, 0.2500, 0.6525) [4 per cell]  6 Cd 2.80-3.01, 2 Cr 2.88

Output
raw total energy: -4.915 eV per atom
energy relative to the elements: 353.9 meV per atom